(A)
A plane-wave DFT calculation with PBE-GGA was carried out for a geometry-optimized GaCF3 structure.

Summary:
* volume: 12.23 Å³ per atom
* SG: Pm-3m, No. 221
* density of states at the Fermi level: 0.00 states/eV/cell

abc: 3.9394 3.9394 3.9394
angles: 90.00 90.00 90.00
Atoms (fractional coordinates):
C 0.0000 0.0000 0.0000
Ga 0.5000 0.5000 0.5000
F 0.0000 0.0000 0.5000
F 0.5000 0.0000 0.0000
F 0.0000 0.5000 0.0000

***

(B)
A plane-wave DFT calculation with PBE-GGA was carried out for a geometry-optimized GaCF3 structure.

Summary:
* volume: 12.03 Å³ per atom
* SG: Pm-3m, No. 221
* density of states at the Fermi level: 6.45 states/eV/cell

abc: 3.9181 3.9181 3.9181
angles: 90.00 90.00 90.00
Last column: magnetic moment on the atom in μB.
Atoms (fractional coordinates):
F 0.0000 0.5000 0.0000  0.02
F 0.5000 0.0000 0.0000  0.02
F 0.0000 0.0000 0.5000  0.06
Ga 0.0000 0.0000 0.0000  0.02
C 0.5000 0.5000 0.5000  0.96

***

Which of them is the least stable? Correct choice: (A).

***

(A)
A plane-wave DFT calculation with PBE-GGA was carried out for a geometry-optimized Ga2CF structure.

Summary:
* volume: 11.67 Å³ per atom
* SG: Fm-3m, No. 225
* density of states at the Fermi level: 1.28 states/eV/cell

abc: 4.0418 4.0418 4.0418
angles: 60.00 60.00 60.00
Atoms (fractional coordinates):
Ga 0.2500 0.2500 0.2500
Ga 0.7500 0.7500 0.7500
C 0.0000 0.0000 0.0000
F 0.5000 0.5000 0.5000

***

(B)
A plane-wave DFT calculation with PBE-GGA was carried out for a geometry-optimized Ga2CF structure.

Summary:
* volume: 14.87 Å³ per atom
* SG: I-42d, No. 122
* density of states at the Fermi level: 3.67 states/eV/cell

abc: 4.9218 4.9218 6.0195
angles: 65.87 65.87 90.00
Atoms (fractional coordinates):
Ga 0.5710 0.1250 0.2500
Ga 0.1790 0.6250 0.2500
Ga 0.8750 0.8210 0.7500
Ga 0.3750 0.4290 0.7500
F 0.0000 0.0000 0.0000
F 0.7500 0.2500 0.5000
C 0.2500 0.7500 0.5000
C 0.5000 0.5000 0.0000

***

Which of them is the least stable? Correct choice: (A).